Entry from the Alexandria database: ScMnRuO6 after structural relaxation (GGA+U).

- Density of states at the Fermi level: 0.53 states/eV per atom
- Magnetic moment: 6.9 Bohr magnetons per cell
- Calculated total energy: -7.5127 eV per atom
- Space-group type: P-31c (163)

Cell: 5.153 5.153 8.848 Å, 90.00 90.00 120.00°
Sites, in units of the cell vectors:
O1 0.353 0.330 0.372
O2 0.330 0.353 0.872
O3 0.353 0.024 0.128
O4 0.024 0.353 0.628
O5 0.330 0.976 0.628
O6 0.670 0.024 0.372
O7 0.647 0.670 0.628
O8 0.647 0.976 0.872
O9 0.976 0.647 0.372
O10 0.670 0.647 0.128
O11 0.976 0.330 0.128
O12 0.024 0.670 0.872
Sc1 0.333 0.667 0.250
Sc2 0.667 0.333 0.750
Ru1 0.333 0.667 0.750
Ru2 0.667 0.333 0.250
Mn1 0.000 0.000 0.500
Mn2 0.000 0.000 0.000